Record 1
## LiZnGe (PBE)

Data for a geometry-optimized LiZnGe structure.

a b c (Å): 4.213 4.213 4.213
angles (deg): 60.00 60.00 60.00
Fractional coordinates of all 3 atoms:
Li (0.000, 0.000, 0.000)
Zn (0.500, 0.500, 0.500)
Ge (0.250, 0.250, 0.250)

The total energy is -2.74 eV/atom.


Record 2
## La2NdMg3Pd2Au (PBE)

Data for a geometry-optimized La2NdMg3Pd2Au structure.

a b c (Å): 4.201 7.727 7.727
angles (deg): 120.34 90.00 90.00
Fractional coordinates of all 9 atoms:
La (0.000, 0.209, 0.791)
La (0.000, 0.791, 0.209)
Nd (0.000, 0.376, 0.376)
Mg (0.500, 0.036, 0.036)
Mg (0.500, 0.549, 0.788)
Mg (0.500, 0.788, 0.549)
Pd (0.500, 0.123, 0.457)
Pd (0.500, 0.457, 0.123)
Au (0.000, 0.789, 0.789)

The total energy is -4.32 eV/atom.


Record 3
## Ba2DyGaTe5 (PBE)

Data for a geometry-optimized Ba2DyGaTe5 structure.

a b c (Å): 10.457 10.457 14.283
angles (deg): 90.00 90.00 155.12
Fractional coordinates of all 18 atoms:
Ba (0.121, 0.879, 0.500)
Ba (0.127, 0.873, 0.862)
Ba (0.873, 0.127, 0.362)
Ba (0.879, 0.121, 0.000)
Dy (0.205, 0.795, 0.162)
Dy (0.795, 0.205, 0.662)
Ga (0.441, 0.559, 0.759)
Ga (0.559, 0.441, 0.259)
Te (0.045, 0.955, 0.150)
Te (0.296, 0.704, 0.519)
Te (0.313, 0.687, 0.815)
Te (0.351, 0.649, 0.179)
Te (0.498, 0.502, 0.419)
Te (0.502, 0.498, 0.919)
Te (0.649, 0.351, 0.679)
Te (0.687, 0.313, 0.315)
Te (0.704, 0.296, 0.019)
Te (0.955, 0.045, 0.650)

The total energy is -4.32 eV/atom.


Record 4
## Na3Cu3P2 (PBE)

Data for a geometry-optimized Na3Cu3P2 structure.

a b c (Å): 6.983 6.983 6.983
angles (deg): 43.84 43.84 43.84
Fractional coordinates of all 8 atoms:
Na (0.000, 0.000, 0.000)
Na (0.408, 0.408, 0.408)
Na (0.592, 0.592, 0.592)
Cu (0.000, 0.000, 0.500)
Cu (0.000, 0.500, 0.000)
Cu (0.500, 0.000, 0.000)
P (0.256, 0.256, 0.256)
P (0.744, 0.744, 0.744)

The total energy is -3.57 eV/atom.


Record 5
## BaNdAgS3 (PBE)

Data for a geometry-optimized BaNdAgS3 structure.

a b c (Å): 8.656 4.192 9.225
angles (deg): 90.00 104.68 90.00
Fractional coordinates of all 12 atoms:
Ba (0.198, 0.250, 0.239)
Ba (0.802, 0.750, 0.761)
Nd (0.325, 0.750, 0.836)
Nd (0.675, 0.250, 0.164)
Ag (0.092, 0.250, 0.591)
Ag (0.908, 0.750, 0.409)
S (0.109, 0.250, 0.871)
S (0.235, 0.750, 0.516)
S (0.445, 0.750, 0.157)
S (0.555, 0.250, 0.843)
S (0.765, 0.250, 0.484)
S (0.891, 0.750, 0.129)

Its excess energy over the best structure of this formula in the dataset is 16 meV per atom.


Record 6
## ScCoSbAu (PBE)

Data for a geometry-optimized ScCoSbAu structure.

a b c (Å): 4.649 4.649 4.649
angles (deg): 60.00 60.00 60.00
Fractional coordinates of all 4 atoms:
Sc (0.000, 0.000, 0.000)
Co (0.500, 0.500, 0.500)
Sb (0.250, 0.250, 0.250)
Au (0.750, 0.750, 0.750)

Its excess energy over the best structure of this formula in the dataset is 0 meV per atom.


Record 7
## ZrGe2Ir (PBE)

Data for a geometry-optimized ZrGe2Ir structure.

a b c (Å): 3.911 5.842 6.293
angles (deg): 90.00 90.00 90.00
Fractional coordinates of all 8 atoms:
Zr (0.000, 0.213, 0.000)
Zr (0.500, 0.787, 0.500)
Ge (0.000, 0.123, 0.562)
Ge (0.000, 0.578, 0.254)
Ge (0.500, 0.422, 0.754)
Ge (0.500, 0.877, 0.062)
Ir (0.000, 0.735, 0.845)
Ir (0.500, 0.265, 0.345)

The total energy is -7.10 eV/atom.


Record 8
## RbAu3S5 (PBE)

Data for a geometry-optimized RbAu3S5 structure.

a b c (Å): 6.517 6.517 6.525
angles (deg): 90.00 90.00 120.00
Fractional coordinates of all 9 atoms:
Rb (0.000, 0.000, 0.000)
Au (0.000, 0.500, 0.500)
Au (0.500, 0.000, 0.500)
Au (0.500, 0.500, 0.500)
S (0.000, 0.000, 0.500)
S (0.333, 0.667, 0.263)
S (0.333, 0.667, 0.737)
S (0.667, 0.333, 0.263)
S (0.667, 0.333, 0.737)

The total energy is -3.48 eV/atom.